A plane-wave DFT calculation with PBE was carried out for a relaxed structure of Li6TlCd12.

Summary:
* mass density: 6.78 g cm⁻³
* total energy: -1.4693 eV/atom
* SG: R-3 (148)

abc: 7.3085 7.3085 7.3085
angles: 90.01 90.01 90.01
With the nearest neighbours (Å) after each atom.
Positions (direct):
Li1 0.1129 0.7293 0.2662  8 Cd 2.89-3.08, 1 Tl 2.89, 2 Li 3.00
Cd1 0.5747 0.1959 0.4751  4 Li 2.92-3.01, 5 Cd 2.94-3.17
Tl1 0.0000 0.0000 0.0000  6 Li 2.89, 6 Cd 3.05
Cd2 0.1591 0.3843 0.0344  4 Li 2.89-3.08, 5 Cd 2.92-3.18, 1 Tl 3.05
Li2 0.7293 0.2662 0.1129  8 Cd 2.89-3.08, 1 Tl 2.89, 2 Li 3.00
Cd3 0.4751 0.5747 0.1959  4 Li 2.92-3.01, 5 Cd 2.94-3.17
Li3 0.7338 0.8871 0.2707  8 Cd 2.89-3.08, 1 Tl 2.89, 2 Li 3.00
Cd4 0.6157 0.9656 0.8409  4 Li 2.89-3.08, 5 Cd 2.92-3.18, 1 Tl 3.05
Cd5 0.3843 0.0344 0.1591  4 Li 2.89-3.08, 5 Cd 2.92-3.18, 1 Tl 3.05
Li4 0.8871 0.2707 0.7338  8 Cd 2.89-3.08, 1 Tl 2.89, 2 Li 3.00
Li5 0.2707 0.7338 0.8871  8 Cd 2.89-3.08, 1 Tl 2.89, 2 Li 3.00
Cd6 0.8409 0.6157 0.9656  4 Li 2.89-3.08, 5 Cd 2.92-3.18, 1 Tl 3.05
Cd7 0.4253 0.8041 0.5249  4 Li 2.92-3.01, 5 Cd 2.94-3.17
Cd8 0.9656 0.8409 0.6157  4 Li 2.89-3.08, 5 Cd 2.92-3.18, 1 Tl 3.05
Cd9 0.5249 0.4253 0.8041  4 Li 2.92-3.01, 5 Cd 2.94-3.17
Cd10 0.1959 0.4751 0.5747  4 Li 2.92-3.01, 5 Cd 2.94-3.17
Cd11 0.8041 0.5249 0.4253  4 Li 2.92-3.01, 5 Cd 2.94-3.17
Li6 0.2662 0.1129 0.7293  8 Cd 2.89-3.08, 1 Tl 2.89, 2 Li 3.00
Cd12 0.0344 0.1591 0.3843  4 Li 2.89-3.08, 5 Cd 2.92-3.18, 1 Tl 3.05